The following is a PBE calculation of a geometry-optimized TiPdRu structure, from Alexandria.

Unit cell a=2.8578 b=4.3927 c=7.3128 alpha=90.00 beta=90.00 gamma=90.00
Closest atoms and distances in Å follow each position.
Element x y z (fractional)
Ru1 0.0000 0.0000 0.9558  4 Ti 2.56-2.64, 6 Ru 2.70-2.86
Pd1 0.0000 0.5000 0.3931  5 Ti 2.64-2.83, 2 Pd 2.86, 2 Ru 2.92
Pd2 0.5000 0.0000 0.6069  5 Ti 2.64-2.83, 2 Pd 2.86, 2 Ru 2.92
Ti1 0.0000 0.5000 0.7544  4 Ru 2.56-2.64, 5 Pd 2.64-2.83, 2 Ti 2.86
Ru2 0.5000 0.5000 0.0442  4 Ti 2.56-2.64, 6 Ru 2.70-2.86
Ti2 0.5000 0.0000 0.2456  4 Ru 2.56-2.64, 5 Pd 2.64-2.83, 2 Ti 2.86

Results
magnetic moment: 0.000 μB per formula unit
ΔH_f (0 K): -0.35 eV per atom
symmetry: Pmmn
volume: 15.300 A^3/atom
raw total energy: -46.81 eV for the cell shown
excess energy over the best structure of this formula in the dataset: 0 meV per atom
Fermi-level density of states: 5.1 states/eV/cell

=====

The following is a PBE calculation of a geometry-optimized Ti2Pd2Ru structure, from Alexandria.

Unit cell a=6.8439 b=6.8439 c=3.4021 alpha=90.00 beta=90.00 gamma=90.00
Closest atoms and distances in Å follow each position.
Element x y z (fractional)
Pd1 0.6422 0.8578 0.5000  6 Ti 2.55-2.69, 1 Pd 2.75
Ti1 0.6618 0.1618 0.0000  6 Pd 2.55-2.69, 2 Ru 2.57
Pd2 0.1422 0.6422 0.5000  6 Ti 2.55-2.69, 1 Pd 2.75
Pd3 0.3578 0.1422 0.5000  6 Ti 2.55-2.69, 1 Pd 2.75
Ti2 0.3382 0.8382 0.0000  6 Pd 2.55-2.69, 2 Ru 2.57
Ru1 0.0000 0.0000 0.0000  4 Ti 2.57
Ti3 0.1618 0.3382 0.0000  6 Pd 2.55-2.69, 2 Ru 2.57
Ru2 0.5000 0.5000 0.0000  4 Ti 2.57
Ti4 0.8382 0.6618 0.0000  6 Pd 2.55-2.69, 2 Ru 2.57
Pd4 0.8578 0.3578 0.5000  6 Ti 2.55-2.69, 1 Pd 2.75

Results
magnetic moment: 0.000 μB per formula unit
ΔH_f (0 K): -0.30 eV per atom
symmetry: P4/mbm
volume: 15.935 A^3/atom
raw total energy: -73.86 eV for the cell shown
excess energy over the best structure of this formula in the dataset: 0 meV per atom
Fermi-level density of states: 4.4 states/eV/cell

=====

The following is a PBE calculation of a geometry-optimized Ti2PdRu structure, from Alexandria.

Unit cell a=3.1300 b=4.4120 c=4.4120 alpha=90.00 beta=90.00 gamma=90.00
Closest atoms and distances in Å follow each position.
Element x y z (fractional)
Ti1 0.0000 0.5000 0.0000  4 Pd 2.70, 4 Ru 2.70
Ru1 0.5000 0.0000 0.0000  8 Ti 2.70
Ti2 0.0000 0.0000 0.5000  4 Ru 2.70, 4 Pd 2.70
Pd1 0.5000 0.5000 0.5000  8 Ti 2.70

Results
magnetic moment: 0.000 μB per formula unit
ΔH_f (0 K): -0.58 eV per atom
symmetry: P4/mmm
volume: 15.232 A^3/atom
raw total energy: -32.57 eV for the cell shown
Fermi-level density of states: 3.7 states/eV/cell

=====

The following is a PBE calculation of a geometry-optimized Ti6Pd3Ru structure, from Alexandria.

Unit cell a=4.9164 b=7.8315 c=8.7772 alpha=90.00 beta=90.10 gamma=90.00
Closest atoms and distances in Å follow each position.
Element x y z (fractional)
Ru1 0.0000 0.0000 0.0000  6 Ti 2.41-2.54
Ti1 0.0738 0.3295 0.4509  1 Ru 2.52, 2 Pd 2.64-2.73, 2 Ti 2.81-2.82
Ti2 0.8746 0.8807 0.2431  1 Ru 2.41, 2 Pd 2.52-2.68
Ti3 0.4338 0.8157 0.4461  1 Ru 2.54, 2 Pd 2.62-2.74, 1 Ti 2.82
Ti4 0.9338 0.6843 0.9461  1 Ru 2.54, 2 Pd 2.62-2.74, 1 Ti 2.82
Ti5 0.0662 0.3157 0.0539  1 Ru 2.54, 2 Pd 2.62-2.74, 1 Ti 2.82
Pd1 0.3464 0.0868 0.2540  8 Ti 2.68-2.96, 1 Pd 2.83, 1 Ru 2.88
Ti6 0.3746 0.6193 0.7431  1 Ru 2.41, 2 Pd 2.52-2.68
Ti7 0.5738 0.1705 0.9509  1 Ru 2.52, 2 Pd 2.64-2.73, 2 Ti 2.81-2.82
Pd2 0.8464 0.4132 0.7540  8 Ti 2.68-2.96, 1 Pd 2.83, 1 Ru 2.88
Pd3 0.5000 0.5000 0.0000  6 Ti 2.52-2.64
Pd4 0.0000 0.0000 0.5000  6 Ti 2.52-2.64
Ru2 0.5000 0.5000 0.5000  6 Ti 2.41-2.54
Ti8 0.1254 0.1193 0.7569  1 Ru 2.41, 2 Pd 2.52-2.68
Ti9 0.9262 0.6705 0.5491  1 Ru 2.52, 2 Pd 2.64-2.73, 2 Ti 2.81-2.82
Ti10 0.6254 0.3807 0.2569  1 Ru 2.41, 2 Pd 2.52-2.68
Ti11 0.4262 0.8295 0.0491  1 Ru 2.52, 2 Pd 2.64-2.73, 2 Ti 2.81-2.82
Pd5 0.1536 0.5868 0.2460  8 Ti 2.68-2.96, 1 Pd 2.83, 1 Ru 2.88
Ti12 0.5662 0.1843 0.5539  1 Ru 2.54, 2 Pd 2.62-2.74, 1 Ti 2.82
Pd6 0.6536 0.9132 0.7460  8 Ti 2.68-2.96, 1 Pd 2.83, 1 Ru 2.88

Results
magnetic moment: 0.000 μB per formula unit
ΔH_f (0 K): -0.23 eV per atom
symmetry: P2_1/c
volume: 16.897 A^3/atom
raw total energy: -149.01 eV for the cell shown
Fermi-level density of states: 30.2 states/eV/cell

=====

The following is a PBE calculation of a geometry-optimized Ti4PdRu3 structure, from Alexandria.

Unit cell a=3.1009 b=4.3975 c=8.7512 alpha=90.00 beta=90.00 gamma=90.00
Closest atoms and distances in Å follow each position.
Element x y z (fractional)
Ru1 0.5000 0.5000 0.5000  8 Ti 2.63-2.69
Pd1 0.5000 0.5000 0.0000  8 Ti 2.69-2.74
Ru2 0.5000 0.0000 0.7502  8 Ti 2.68-2.69
Ti1 0.0000 0.5000 0.2577  6 Ru 2.63-2.69, 2 Pd 2.74
Ti2 0.0000 0.0000 0.5000  8 Ru 2.68-2.69
Ti3 0.0000 0.0000 0.0000  4 Ru 2.68, 4 Pd 2.69
Ru3 0.5000 0.0000 0.2498  8 Ti 2.68-2.69
Ti4 0.0000 0.5000 0.7423  6 Ru 2.63-2.69, 2 Pd 2.74

Results
magnetic moment: 0.000 μB per formula unit
ΔH_f (0 K): -0.66 eV per atom
symmetry: Pmmm
volume: 14.917 A^3/atom
raw total energy: -69.91 eV for the cell shown
Fermi-level density of states: 6.4 states/eV/cell

=====

The following is a PBE calculation of a geometry-optimized Ti4PdRu structure, from Alexandria.

Unit cell a=4.3175 b=4.3293 c=7.3112 alpha=72.67 beta=72.83 gamma=60.09
Closest atoms and distances in Å follow each position.
Element x y z (fractional)
Ru1 0.0000 0.0000 0.0000  8 Ti 2.50-2.62
Ti1 0.6289 0.6290 0.1132  3 Ru 2.61-2.62, 1 Pd 2.66
Ti2 0.8782 0.8791 0.3645  1 Ru 2.50, 3 Pd 2.66-2.67
Ti3 0.1218 0.1209 0.6355  1 Ru 2.50, 3 Pd 2.66-2.67
Ti4 0.3711 0.3710 0.8868  3 Ru 2.61-2.62, 1 Pd 2.66
Pd1 0.5000 0.5000 0.5000  8 Ti 2.66-2.67

Results
magnetic moment: 0.002 μB per formula unit
ΔH_f (0 K): -0.08 eV per atom
symmetry: C2/m
volume: 18.548 A^3/atom
raw total energy: -46.50 eV for the cell shown
excess energy over the best structure of this formula in the dataset: 413 meV per atom
Fermi-level density of states: 7.9 states/eV/cell

=====

The following is a PBE calculation of a geometry-optimized Ti2Pd2Ru structure, from Alexandria.

Unit cell a=3.5747 b=3.5747 c=7.0171 alpha=75.24 beta=75.24 gamma=90.00
Closest atoms and distances in Å follow each position.
Element x y z (fractional)
Pd1 0.7500 0.2500 0.5000  4 Pd 2.53, 4 Ti 2.67
Ti1 0.5988 0.5988 0.8024  1 Ti 2.59, 4 Pd 2.67, 4 Ru 2.84
Ru1 0.0000 0.0000 0.0000  8 Ti 2.84
Pd2 0.2500 0.7500 0.5000  4 Pd 2.53, 4 Ti 2.67
Ti2 0.4012 0.4012 0.1976  1 Ti 2.59, 4 Pd 2.67, 4 Ru 2.84

Results
magnetic moment: 0.363 μB per formula unit
ΔH_f (0 K): -0.03 eV per atom
symmetry: I4/mmm
volume: 16.730 A^3/atom
raw total energy: -35.62 eV for the cell shown
excess energy over the best structure of this formula in the dataset: 263 meV per atom
Fermi-level density of states: 4.4 states/eV/cell

=====

The following is a PBE calculation of a geometry-optimized TiPdRu3 structure, from Alexandria.

Unit cell a=4.6932 b=4.6932 c=4.6932 alpha=90.00 beta=90.00 gamma=90.00
Closest atoms and distances in Å follow each position.
Element x y z (fractional)
Ru1 0.5000 0.0000 0.0000  2 Pd 2.35
Pd1 0.0000 0.0000 0.0000  6 Ru 2.35
Ti1 0.5000 0.5000 0.5000  12 Ru 3.32
Ru2 0.0000 0.5000 0.0000  2 Pd 2.35
Ru3 0.0000 0.0000 0.5000  2 Pd 2.35

Results
magnetic moment: 3.912 μB per formula unit
ΔH_f (0 K): 1.80 eV per atom
symmetry: Pm-3m
volume: 20.674 A^3/atom
raw total energy: -31.91 eV for the cell shown
excess energy over the best structure of this formula in the dataset: 619 meV per atom
Fermi-level density of states: 7.3 states/eV/cell

=====

The following is a PBE calculation of a geometry-optimized TiVPdRu structure, from Alexandria.

Unit cell a=4.3739 b=4.3739 c=4.3739 alpha=60.00 beta=60.00 gamma=60.00
Closest atoms and distances in Å follow each position.
Element x y z (fractional)
Ru1 0.0000 0.0000 0.0000  4 Ti 2.68, 4 V 2.68
V1 0.7500 0.7500 0.7500  4 Ru 2.68, 4 Pd 2.68
Ti1 0.2500 0.2500 0.2500  4 Ru 2.68, 4 Pd 2.68
Pd1 0.5000 0.5000 0.5000  4 Ti 2.68, 4 V 2.68

Results
magnetic moment: 1.431 μB per formula unit
ΔH_f (0 K): -0.30 eV per atom
symmetry: F-43m
volume: 14.792 A^3/atom
raw total energy: -32.70 eV for the cell shown
Fermi-level density of states: 5.1 states/eV/cell

=====

The following is a PBE calculation of a geometry-optimized YTiPdRu structure, from Alexandria.

Unit cell a=4.6601 b=4.6601 c=4.6601 alpha=60.00 beta=60.00 gamma=60.00
Closest atoms and distances in Å follow each position.
Element x y z (fractional)
Pd1 0.5000 0.5000 0.5000  4 Ti 2.85, 4 Y 2.85
Y1 0.7500 0.7500 0.7500  4 Ru 2.85, 4 Pd 2.85
Ru1 0.0000 0.0000 0.0000  4 Y 2.85, 4 Ti 2.85
Ti1 0.2500 0.2500 0.2500  4 Ru 2.85, 4 Pd 2.85

Results
magnetic moment: 0.003 μB per formula unit
ΔH_f (0 K): -0.47 eV per atom
symmetry: F-43m
volume: 17.890 A^3/atom
raw total energy: -30.72 eV for the cell shown
Fermi-level density of states: 3.3 states/eV/cell

=====

The following is a PBE calculation of a geometry-optimized Tl2PdRu2 structure, from Alexandria.

Unit cell a=3.4694 b=3.4694 c=8.8082 alpha=78.64 beta=78.64 gamma=90.00
Closest atoms and distances in Å follow each position.
Element x y z (fractional)
Ru1 0.2500 0.7500 0.5000  4 Ru 2.45
Tl1 0.3973 0.3973 0.2053  4 Pd 3.01, 4 Ru 3.04
Ru2 0.7500 0.2500 0.5000  4 Ru 2.45
Pd1 0.0000 0.0000 0.0000  8 Tl 3.01
Tl2 0.6027 0.6027 0.7947  4 Pd 3.01, 4 Ru 3.04

Results
magnetic moment: 0.000 μB per formula unit
ΔH_f (0 K): 0.53 eV per atom
symmetry: I4/mmm
volume: 20.365 A^3/atom
raw total energy: -25.83 eV for the cell shown
excess energy over the best structure of this formula in the dataset: 0 meV per atom
Fermi-level density of states: 5.1 states/eV/cell

=====

The following is a PBE calculation of a geometry-optimized TlPd3Ru structure, from Alexandria.

Unit cell a=4.8567 b=4.8567 c=4.8567 alpha=90.00 beta=90.00 gamma=90.00
Closest atoms and distances in Å follow each position.
Element x y z (fractional)
Pd1 0.5000 0.0000 0.0000  2 Ru 2.43
Pd2 0.0000 0.5000 0.0000  2 Ru 2.43
Ru1 0.0000 0.0000 0.0000  6 Pd 2.43
Tl1 0.5000 0.5000 0.5000  12 Pd 3.43
Pd3 0.0000 0.0000 0.5000  2 Ru 2.43

Results
magnetic moment: 0.895 μB per formula unit
ΔH_f (0 K): 0.94 eV per atom
symmetry: Pm-3m
volume: 22.912 A^3/atom
raw total energy: -22.54 eV for the cell shown
excess energy over the best structure of this formula in the dataset: 0 meV per atom
Fermi-level density of states: 7.0 states/eV/cell

=====

Number 2 is which compound?
Ti2Pd2Ru

=====

Look up the volume of the first one.
15.300 A^3/atom

=====

Please write out number 7 again, unchanged.
The following is a PBE calculation of a geometry-optimized Ti2Pd2Ru structure, from Alexandria.

Unit cell a=3.5747 b=3.5747 c=7.0171 alpha=75.24 beta=75.24 gamma=90.00
Closest atoms and distances in Å follow each position.
Element x y z (fractional)
Pd1 0.7500 0.2500 0.5000  4 Pd 2.53, 4 Ti 2.67
Ti1 0.5988 0.5988 0.8024  1 Ti 2.59, 4 Pd 2.67, 4 Ru 2.84
Ru1 0.0000 0.0000 0.0000  8 Ti 2.84
Pd2 0.2500 0.7500 0.5000  4 Pd 2.53, 4 Ti 2.67
Ti2 0.4012 0.4012 0.1976  1 Ti 2.59, 4 Pd 2.67, 4 Ru 2.84

Results
magnetic moment: 0.363 μB per formula unit
ΔH_f (0 K): -0.03 eV per atom
symmetry: I4/mmm
volume: 16.730 A^3/atom
raw total energy: -35.62 eV for the cell shown
excess energy over the best structure of this formula in the dataset: 263 meV per atom
Fermi-level density of states: 4.4 states/eV/cell